(1)
VASP calculation (PBE) on an optimized crystal structure of Ag2Rh3.

Summary:
As for the energy above the most stable polymorph in this dataset: 0 meV per atom. The value obtained for the density of states at the Fermi level is 5.1 states/eV/cell. Its energy of formation is 0.122 eV per atom.

Lattice parameters (Å, degrees): 10.279 10.279 10.279 164.48 164.48 22.02
Atoms (fractional coordinates):
Rh 0.000 0.000 0.000
Rh 0.591 0.591 0.000
Rh 0.409 0.409 0.000
Ag 0.195 0.195 0.000
Ag 0.805 0.805 0.000

=====

(2)
VASP calculation (PBE) on an optimized crystal structure of TbBeGa2.

Summary:
The value obtained for the density of states at the Fermi level is 2.7 states/eV/cell. Its energy of formation is 0.158 eV per atom.

Lattice parameters (Å, degrees): 3.182 3.182 8.843 79.63 79.63 60.00
Atoms (fractional coordinates):
Tb 0.500 0.500 0.500
Be 0.000 0.000 0.000
Ga 0.734 0.734 0.798
Ga 0.266 0.266 0.202

=====

(3)
VASP calculation (PBE) on an optimized crystal structure of Tc2TeIr.

Summary:
The value obtained for the density of states at the Fermi level is 4.3 states/eV/cell. For the uncorrected formation energy, the calculation gives 1.5 eV per formula unit.

Lattice parameters (Å, degrees): 4.753 4.753 5.108 77.27 77.27 36.03
Atoms (fractional coordinates):
Ir 0.250 0.250 0.250
Tc 0.000 0.000 0.034
Tc 0.500 0.500 0.466
Te 0.750 0.750 0.750

=====

(4)
VASP calculation (PBE) on an optimized crystal structure of NaPmO2.

Summary:
As for the energy above the most stable polymorph in this dataset: 526 meV per atom. The value obtained for the density of states at the Fermi level is 0.2 states/eV/cell. For the uncorrected formation energy, the calculation gives -8.6 eV per formula unit.

Lattice parameters (Å, degrees): 3.033 3.033 6.156 90.00 90.00 90.00
Atoms (fractional coordinates):
O 0.000 0.000 0.214
Pm 0.500 0.500 0.000
O 0.000 0.000 0.786
Na 0.500 0.500 0.500

=====

(5)
VASP calculation (PBE) on an optimized crystal structure of Sr2LiY.

Summary:
As for the energy above the most stable polymorph in this dataset: 134 meV per atom. The value obtained for the density of states at the Fermi level is 5.0 states/eV/cell. Its energy of formation is 0.271 eV per atom.

Lattice parameters (Å, degrees): 6.580 6.580 6.580 130.55 130.55 72.54
Atoms (fractional coordinates):
Sr 0.000 0.000 0.000
Sr 0.500 0.500 0.000
Y 0.250 0.750 0.500
Li 0.750 0.250 0.500

=====

(6)
VASP calculation (PBE) on an optimized crystal structure of Ca2Ge5Rh3.

Summary:
The value obtained for the density of states at the Fermi level is 8.7 states/eV/cell. Its energy of formation is -0.672 eV per atom.

Lattice parameters (Å, degrees): 5.836 8.543 8.543 72.10 70.03 70.03
Atoms (fractional coordinates):
Rh 0.750 0.000 0.000
Ge 0.250 0.500 0.500
Ge 0.406 0.264 0.925
Ca 0.639 0.131 0.590
Ge 0.906 0.925 0.264
Ge 0.094 0.075 0.736
Rh 0.857 0.738 0.548
Ge 0.750 0.500 0.500
Ca 0.861 0.410 0.869
Ge 0.462 0.788 0.788
Ge 0.038 0.212 0.212
Ca 0.361 0.869 0.410
Rh 0.357 0.548 0.738
Ge 0.962 0.788 0.788
Ca 0.139 0.590 0.131
Rh 0.643 0.452 0.262
Rh 0.250 0.000 0.000
Ge 0.594 0.736 0.075
Ge 0.538 0.212 0.212
Rh 0.143 0.262 0.452

=====

(7)
VASP calculation (PBE) on an optimized crystal structure of CeNdI.

Summary:
As for the energy above the most stable polymorph in this dataset: 0 meV per atom. The value obtained for the density of states at the Fermi level is 9.9 states/eV/cell. For the uncorrected formation energy, the calculation gives -1.5 eV per formula unit.

Lattice parameters (Å, degrees): 3.949 3.949 14.251 90.00 90.00 60.00
Atoms (fractional coordinates):
Ce 0.333 0.333 0.549
I 0.000 0.000 0.273
I 0.000 0.000 0.727
Nd 0.667 0.667 0.901
Ce 0.667 0.667 0.451
Nd 0.333 0.333 0.099

=====

(8)
VASP calculation (PBE) on an optimized crystal structure of CaTl2PdRh.

Summary:
The value obtained for the density of states at the Fermi level is 8.1 states/eV/cell. Its energy of formation is 1.103 eV per atom.

Lattice parameters (Å, degrees): 5.739 4.829 5.739 90.00 90.00 90.00
Atoms (fractional coordinates):
Tl 0.000 0.000 0.500
Ca 0.000 0.000 0.000
Tl 0.500 0.000 0.000
Rh 0.500 0.500 0.500
Pd 0.000 0.500 0.000

=====

(9)
VASP calculation (PBE) on an optimized crystal structure of Zr2ScBr.

Summary:
The value obtained for the density of states at the Fermi level is 5.8 states/eV/cell. For the uncorrected formation energy, the calculation gives 0.0 eV per formula unit.

Lattice parameters (Å, degrees): 3.284 5.217 5.364 90.00 90.00 90.00
Atoms (fractional coordinates):
Zr 0.000 0.000 0.000
Br 0.500 0.000 0.500
Zr 0.500 0.500 0.000
Sc 0.000 0.500 0.500

=====

(10)
VASP calculation (PBE) on an optimized crystal structure of TaTl3Ni2Se6.

Summary:
The value obtained for the density of states at the Fermi level is 9.1 states/eV/cell. For the uncorrected formation energy, the calculation gives -4.0 eV per formula unit.

Lattice parameters (Å, degrees): 6.330 6.330 8.383 97.11 97.11 120.12
Atoms (fractional coordinates):
Ni 0.334 0.666 0.000
Tl 0.500 0.500 0.500
Se 0.596 0.944 0.829
Se 0.404 0.056 0.171
Tl 0.836 0.164 0.500
Se 0.291 0.291 0.828
Ni 0.666 0.334 0.000
Tl 0.164 0.836 0.500
Se 0.709 0.709 0.172
Se 0.056 0.404 0.171
Se 0.944 0.596 0.829
Ta 0.000 0.000 0.000

=====

(11)
VASP calculation (PBE) on an optimized crystal structure of Nd3Al5Te12.

Summary:
For the uncorrected formation energy, the calculation gives -15.5 eV per formula unit.

Lattice parameters (Å, degrees): 14.975 14.975 14.975 109.47 109.47 109.47
Atoms (fractional coordinates):
Te 0.914 0.824 0.792
Te 0.622 0.590 0.914
Te 0.208 0.532 0.622
Al 0.625 0.750 0.875
Nd 0.250 0.625 0.875
Al 0.000 0.500 0.500
Te 0.468 0.676 0.090
Te 0.590 0.622 0.414
Te 0.676 0.208 0.586
Al 0.125 0.750 0.375
Nd 0.125 0.250 0.875
Te 0.622 0.032 0.208
Al 0.375 0.125 0.750
Nd 0.375 0.625 0.250
Te 0.532 0.324 0.910
Nd 0.250 0.125 0.375
Te 0.086 0.910 0.378
Al 0.875 0.250 0.625
Te 0.122 0.414 0.090
Te 0.292 0.414 0.824
Te 0.910 0.086 0.878
Nd 0.875 0.125 0.250
Nd 0.625 0.375 0.750
Te 0.090 0.914 0.122
Al 0.500 0.000 0.500
Al 0.875 0.625 0.750
Al 0.750 0.125 0.875
Te 0.676 0.468 0.590
Te 0.176 0.086 0.708
Te 0.590 0.968 0.676
Al 0.500 0.500 0.500
Al 0.375 0.250 0.125
Te 0.708 0.586 0.176
Te 0.410 0.378 0.586
Nd 0.125 0.875 0.750
Te 0.532 0.208 0.122
Te 0.176 0.090 0.968
Te 0.878 0.586 0.910
Nd 0.750 0.875 0.625
Te 0.878 0.292 0.468
Te 0.468 0.792 0.878
Te 0.324 0.792 0.414
Al 0.000 0.000 0.000
Te 0.792 0.468 0.378
Al 0.625 0.875 0.250
Te 0.292 0.878 0.968
Nd 0.625 0.250 0.375
Nd 0.875 0.750 0.125
Al 0.000 0.000 0.500
Te 0.968 0.590 0.176
Te 0.122 0.708 0.532
Te 0.414 0.122 0.590
Te 0.910 0.824 0.532
Te 0.586 0.878 0.410
Te 0.792 0.324 0.914
Te 0.086 0.176 0.208
Te 0.414 0.292 0.324
Al 0.750 0.625 0.375
Te 0.032 0.410 0.824
Te 0.032 0.622 0.708
Al 0.250 0.375 0.625
Nd 0.750 0.375 0.125
Te 0.410 0.032 0.324
Te 0.824 0.910 0.032
Te 0.378 0.968 0.792
Te 0.090 0.176 0.468
Te 0.824 0.914 0.292
Al 0.500 0.500 0.000
Te 0.708 0.122 0.032
Nd 0.375 0.750 0.625
Te 0.586 0.708 0.676
Te 0.968 0.378 0.292
Al 0.125 0.375 0.250
Te 0.208 0.676 0.086
Al 0.000 0.500 0.000
Te 0.324 0.532 0.410
Te 0.914 0.090 0.622
Al 0.500 0.000 0.000
Al 0.250 0.875 0.125
Te 0.378 0.410 0.086

=====

(12)
VASP calculation (PBE) on an optimized crystal structure of TlSbIr2.

Summary:
As for the energy above the most stable polymorph in this dataset: 87 meV per atom. The value obtained for the density of states at the Fermi level is 2.4 states/eV/cell. For the uncorrected formation energy, the calculation gives 1.6 eV per formula unit.

Lattice parameters (Å, degrees): 4.475 4.475 5.878 78.70 78.70 41.87
Atoms (fractional coordinates):
Tl 0.250 0.250 0.250
Sb 0.750 0.750 0.750
Ir 0.004 0.004 0.971
Ir 0.496 0.496 0.529